RbTlSn: optimized geometry, PBE.

The structure in POSCAR format:
```
RbTlSn
1.0
7.949 -2.237 0.000
7.949 2.237 0.000
-3.856 0.000 6.894
Rb Tl Sn
2 2 2
Direct
0.000 0.000 0.000
0.670 0.670 0.669
0.339 0.339 0.124
0.716 0.716 0.229
0.347 0.347 0.547
0.948 0.948 0.459
```

Summary:
**Crystal system**: monoclinic
**M_tot**: 0.0000 μB per atom
**Formation energy**: -0.17 eV per atom

---

Rb2Tl5Sn: optimized geometry, PBE.

The structure in POSCAR format:
```
Rb2Tl5Sn
1.0
7.613 0.000 0.000
0.000 7.613 0.000
0.000 0.000 5.901
Rb Tl Sn
2 5 1
Direct
0.000 0.500 0.000
0.500 0.000 0.000
0.000 0.000 0.000
0.292 0.292 0.500
0.292 0.708 0.500
0.708 0.292 0.500
0.708 0.708 0.500
0.000 0.000 0.500
```

Summary:
**Crystal system**: tetragonal
**Excess energy over the best structure of this formula in the dataset**: 117 meV/atom
**M_tot**: 0.0000 μB per atom
**Formation energy**: 0.04 eV per atom

---

Rb2Tl2Sn: optimized geometry, PBE.

The structure in POSCAR format:
```
Rb2Tl2Sn
1.0
6.106 -3.646 0.000
6.106 3.646 0.000
-1.912 0.000 9.533
Rb Tl Sn
4 4 2
Direct
0.048 0.265 0.163
0.265 0.048 0.663
0.735 0.952 0.337
0.952 0.735 0.837
0.249 0.520 0.507
0.480 0.751 0.993
0.520 0.249 0.007
0.751 0.480 0.493
0.381 0.619 0.250
0.619 0.381 0.750
```

Summary:
**Crystal system**: monoclinic
**Excess energy over the best structure of this formula in the dataset**: 0 meV/atom
**M_tot**: 0.0000 μB per atom
**Formation energy**: -0.12 eV per atom

---

RbTl11Sn: optimized geometry, PBE.

The structure in POSCAR format:
```
RbTl11Sn
1.0
3.285 -8.040 0.000
3.285 8.040 0.000
-3.134 0.000 8.141
Rb Tl Sn
1 11 1
Direct
0.000 0.000 0.000
0.000 0.000 0.500
0.000 0.500 0.000
0.008 0.363 0.361
0.289 0.501 0.783
0.363 0.008 0.361
0.499 0.711 0.217
0.500 0.000 0.000
0.501 0.289 0.783
0.637 0.992 0.639
0.711 0.499 0.217
0.992 0.637 0.639
0.500 0.500 0.500
```

Summary:
**Crystal system**: monoclinic
**M_tot**: 0.0000 μB per atom
**Formation energy**: -0.01 eV per atom

---

RbTlSn: optimized geometry, PBE.

The structure in POSCAR format:
```
RbTlSn
1.0
5.464 0.000 0.000
0.000 7.499 2.610
0.000 -7.499 2.610
Rb Tl Sn
2 2 2
Direct
0.000 0.000 0.000
0.500 0.489 0.489
0.500 0.159 0.804
0.500 0.804 0.159
0.000 0.319 0.705
0.000 0.705 0.319
```

Summary:
**Crystal system**: orthorhombic
**M_tot**: 0.0000 μB per atom
**Formation energy**: -0.10 eV per atom

---

RbTlSn: optimized geometry, PBE.

The structure in POSCAR format:
```
RbTlSn
1.0
4.517 0.000 0.000
-0.014 7.280 0.000
-2.257 -1.502 7.457
Rb Tl Sn
2 2 2
Direct
0.118 0.348 0.232
0.882 0.652 0.768
0.419 0.149 0.838
0.581 0.851 0.162
0.233 0.859 0.468
0.767 0.141 0.532
```

Summary:
**Crystal system**: triclinic
**M_tot**: 0.0000 μB per atom
**Formation energy**: -0.16 eV per atom

---

Rb2TlSnW: optimized geometry, PBE.

The structure in POSCAR format:
```
Rb2TlSnW
1.0
6.980 0.000 0.000
0.000 6.980 0.000
0.000 0.000 5.285
Rb Tl Sn W
2 1 1 1
Direct
0.000 0.500 0.000
0.500 0.000 0.000
0.000 0.000 0.500
0.500 0.500 0.000
0.500 0.500 0.500
```

Summary:
**Crystal system**: tetragonal
**M_tot**: 0.7343 μB per atom
**Formation energy**: 1.09 eV per atom

---

RbTlZnSn2: optimized geometry, PBE.

The structure in POSCAR format:
```
RbTlZnSn2
1.0
5.382 0.000 0.000
0.000 5.382 0.000
0.000 0.000 5.812
Rb Tl Zn Sn
1 1 1 2
Direct
0.000 0.000 0.000
0.500 0.500 0.000
0.500 0.500 0.500
0.000 0.500 0.500
0.500 0.000 0.500
```

Summary:
**Crystal system**: tetragonal
**M_tot**: 0.0000 μB per atom
**Formation energy**: 0.12 eV per atom